[1]
Computed, not measured: an optimized crystal structure of RbIrPt3 at the PBE-GGA level of DFT.

Calculated values
Relative energy among the computed polymorphs = 10.33 eV per formula unit
ΔE_f = 2.8677 eV per atom

Lattice parameters (Å, degrees): 4.9168 4.9168 4.9168 90.00 90.00 90.00
Space group Pm-3m (No. 221)
Symmetry-distinct sites (fractional):
1 Rb 0.0000 0.0000 0.0000 x1
2 Ir 0.5000 0.5000 0.5000 x1
3 Pt 0.0000 0.0000 0.5000 x3

[2]
Computed, not measured: an optimized crystal structure of CaRe2N2 at the PBE-GGA level of DFT.

Calculated values
Relative energy among the computed polymorphs = 3.74 eV per formula unit

Lattice parameters (Å, degrees): 6.9535 6.9535 2.7574 90.00 90.00 90.00
Space group P4/mbm (No. 127)
Symmetry-distinct sites (fractional):
1 Ca 0.0000 0.0000 0.0000 x2
2 Re 0.1253 0.3747 0.5000 x4
3 N 0.1254 0.6254 0.0000 x4

[3]
Computed, not measured: an optimized crystal structure of GdSnHgSb at the PBE-GGA level of DFT.

Calculated values
Total DFT energy (no corrections) = -5.969 eV per atom

Lattice parameters (Å, degrees): 7.5723 7.5723 7.5723 90.00 90.00 90.00
Space group F-43m (No. 216)
Symmetry-distinct sites (fractional):
1 Gd 0.0000 0.0000 0.0000 x4
2 Sn 0.0000 0.0000 0.5000 x4
3 Hg 0.2500 0.2500 0.2500 x4
4 Sb 0.2500 0.2500 0.7500 x4

[4]
Computed, not measured: an optimized crystal structure of BeHgSb2 at the PBE-GGA level of DFT.

Calculated values
Relative energy among the computed polymorphs = 0.19 eV per formula unit

Lattice parameters (Å, degrees): 5.6365 5.6365 13.8425 90.00 90.00 90.00
Space group I-42d (No. 122)
Symmetry-distinct sites (fractional):
1 Be 0.0000 0.0000 0.0000 x4
2 Hg 0.0000 0.0000 0.5000 x4
3 Sb 0.1694 0.2500 0.1250 x8

| no. | V (Å³/cell) | total magnetization (μB/cell) |
| --- | --- | --- |
| 1 | 119 | 1.47 |
| 2 | 133 | 0.00 |
| 3 | 434 | 27.84 |
| 4 | 440 | 0.00 |